The following is a GGA-PBE calculation of an optimized crystal structure of RbOsRh, from the Alexandria database.

Lattice parameters (Å, degrees): 5.827 6.225 5.828 122.28 93.35 122.28
Fractional coordinates of all 6 atoms:
Os (0.464, 0.183, 0.631)
Os (0.056, 0.683, 0.038)
Rh (0.102, 0.276, 0.677)
Rh (0.102, 0.776, 0.677)
Rb (0.474, 0.532, 0.318)
Rb (0.743, 0.032, 0.049)

## Properties
Space group   Ima2, No. 46
Volume   132.5 Å³ per cell
Offset from the most stable computed form   0.484 eV per atom

The following is a GGA-PBE calculation of an optimized crystal structure of CoPb2Br, from the Alexandria database.

Lattice parameters (Å, degrees): 5.224 5.224 5.224 60.00 60.00 60.00
Site moments in Bohr magnetons follow the coordinates.
Fractional coordinates of all 4 atoms:
Pb (0.250, 0.250, 0.250)  -0.04
Pb (0.750, 0.750, 0.750)  -0.04
Co (0.000, 0.000, 0.000)  1.65
Br (0.500, 0.500, 0.500)  0.00

## Properties
Space group   Fm-3m, No. 225
Volume   100.8 Å³ per cell
Offset from the most stable computed form   0.434 eV per atom

The following is a GGA-PBE calculation of an optimized crystal structure of Mg6VGa, from the Alexandria database.

Lattice parameters (Å, degrees): 6.197 6.197 4.918 90.00 90.00 120.22
Site moments in Bohr magnetons follow the coordinates.
Fractional coordinates of all 8 atoms:
Mg (0.172, 0.337, 0.000)  -0.01
Mg (0.663, 0.828, 0.000)  -0.01
Mg (0.667, 0.333, 0.000)  -0.01
Mg (0.329, 0.157, 0.500)  0.00
Mg (0.843, 0.671, 0.500)  0.00
Mg (0.832, 0.168, 0.500)  0.01
V (0.173, 0.827, 0.000)  2.47
Ga (0.321, 0.679, 0.500)  -0.02

## Properties
Space group   Amm2, No. 38
Volume   163.2 Å³ per cell
Offset from the most stable computed form   0.000 eV per atom

The following is a GGA-PBE calculation of an optimized crystal structure of AgMoAu3, from the Alexandria database.

Lattice parameters (Å, degrees): 5.049 5.049 5.049 90.00 90.00 90.00
Fractional coordinates of all 5 atoms:
Mo (0.000, 0.000, 0.000)
Au (0.000, 0.500, 0.000)
Au (0.000, 0.000, 0.500)
Au (0.500, 0.000, 0.000)
Ag (0.500, 0.500, 0.500)

## Properties
Space group   Pm-3m, No. 221
Volume   128.7 Å³ per cell
Offset from the most stable computed form   0.000 eV per atom

Q: Number 2 is which compound?
A: CoPb2Br

Q: Which formula does entry 3 have?
A: Mg6VGa

Q: Among the records above, which one has the highest offset from the most stable computed form?
A: RbOsRh